Compound: LaTeMo2
Source: Alexandria via LeMat-Bulk
Functional: PBE-GGA
Structure: optimized geometry

POSCAR file:
```
LaTeMo2
1.0
4.055 0.000 0.000
0.000 4.430 0.000
0.000 0.000 4.831
La Te Mo
1 1 2
direct
0.000 0.000 0.000 La
0.500 0.500 0.000 Te
0.000 0.500 0.500 Mo
0.500 0.000 0.500 Mo
```

Properties
Space-group type = Pmmm, No. 47
DFT total energy = -6.98 eV per atom
Volume = 21.7 A^3/atom
Fermi-level density of states = 4.75 states/eV/f.u.
E_form (uncorrected) = 43.9 kJ per mole of atoms
Total moment = 0.01 μB per formula unit

---

Compound: RbAs2Cl6
Source: Alexandria via LeMat-Bulk
Functional: PBE-GGA
Structure: optimized geometry

POSCAR file:
```
RbAs2Cl6
1.0
6.249 -6.647 0.000
6.249 6.647 0.000
-5.959 0.000 8.766
Rb As Cl
2 4 12
direct
0.082 0.918 0.750 Rb
0.918 0.082 0.250 Rb
0.311 0.422 0.789 As
0.422 0.311 0.289 As
0.578 0.689 0.711 As
0.689 0.578 0.211 As
0.073 0.212 0.634 Cl
0.184 0.616 0.862 Cl
0.212 0.073 0.134 Cl
0.348 0.384 0.520 Cl
0.384 0.348 0.020 Cl
0.384 0.816 0.638 Cl
0.616 0.184 0.362 Cl
0.616 0.652 0.980 Cl
0.652 0.616 0.480 Cl
0.788 0.927 0.866 Cl
0.816 0.384 0.138 Cl
0.927 0.788 0.366 Cl
```

Properties
Space-group type = C2/c, No. 15
DFT total energy = -3.22 eV per atom
Volume = 40.5 A^3/atom
Fermi-level density of states = 0.47 states/eV/f.u.
E_form (uncorrected) = -82.0 kJ per mole of atoms
Total moment = 0.00 μB per formula unit

---

Compound: TaPd2Au
Source: Alexandria via LeMat-Bulk
Functional: PBE-GGA
Structure: optimized geometry

POSCAR file:
```
TaPd2Au
1.0
2.899 0.000 0.000
0.000 2.899 0.000
0.000 0.000 7.913
Ta Pd Au
1 2 1
direct
0.000 0.000 0.000 Ta
0.500 0.500 0.239 Pd
0.500 0.500 0.761 Pd
0.000 0.000 0.500 Au
```

Properties
Space-group type = P4/mmm, No. 123
DFT total energy = -6.67 eV per atom
Volume = 16.6 A^3/atom
Distance to the lowest polymorph of the same formula = 0.035 eV per formula unit
DFT formation energy = -287 meV/atom
Fermi-level density of states = 3.60 states/eV/f.u.
Total moment = 0.00 μB per formula unit

---

Compound: Sc6GeSb2Se3
Source: Alexandria via LeMat-Bulk
Functional: PBE-GGA
Structure: optimized geometry

POSCAR file:
```
Sc6GeSb2Se3
1.0
8.708 -1.985 0.000
8.708 1.985 0.000
-1.855 0.000 7.782
Sc Ge Sb Se
6 1 2 3
direct
0.003 0.003 0.266 Sc
0.339 0.339 0.908 Sc
0.341 0.341 0.429 Sc
0.659 0.659 0.571 Sc
0.661 0.661 0.092 Sc
0.997 0.997 0.734 Sc
0.500 0.500 0.500 Ge
0.168 0.168 0.836 Sb
0.832 0.832 0.164 Sb
0.168 0.168 0.336 Se
0.500 0.500 0.000 Se
0.832 0.832 0.664 Se
```

Properties
Space-group type = C2/m, No. 12
DFT total energy = -6.37 eV per atom
Volume = 22.4 A^3/atom
Fermi-level density of states = 4.72 states/eV/f.u.
E_form (uncorrected) = -121.9 kJ per mole of atoms
Total moment = 0.00 μB per formula unit

---

Compound: TbHoRu
Source: Alexandria via LeMat-Bulk
Functional: PBE-GGA
Structure: optimized geometry

POSCAR file:
```
TbHoRu
1.0
0.000 3.377 3.377
3.377 0.000 3.377
3.377 3.377 0.000
Tb Ho Ru
1 1 1
direct
0.000 0.000 0.000 Tb
0.500 0.500 0.500 Ho
0.250 0.250 0.250 Ru
```

Properties
Space-group type = F-43m, No. 216
DFT total energy = -6.45 eV per atom
Volume = 25.7 A^3/atom
Distance to the lowest polymorph of the same formula = 0.159 eV per formula unit
DFT formation energy = -286 meV/atom
Fermi-level density of states = 1.82 states/eV/f.u.
Total moment = 0.00 μB per formula unit

---

Compound: NaYTe2
Source: Alexandria via LeMat-Bulk
Functional: PBE-GGA
Structure: optimized geometry

POSCAR file:
```
NaYTe2
1.0
8.789 0.000 0.000
0.000 6.203 0.000
0.000 0.000 11.359
Na Y Te
4 4 8
direct
0.077 0.250 0.114 Na
0.423 0.750 0.614 Na
0.577 0.250 0.386 Na
0.923 0.750 0.886 Na
0.075 0.250 0.628 Y
0.425 0.750 0.128 Y
0.575 0.250 0.872 Y
0.925 0.750 0.372 Y
0.056 0.750 0.616 Te
0.086 0.750 0.139 Te
0.414 0.250 0.639 Te
0.444 0.250 0.116 Te
0.556 0.750 0.884 Te
0.586 0.750 0.361 Te
0.914 0.250 0.861 Te
0.944 0.250 0.384 Te
```

Properties
Space-group type = Pnma, No. 62
DFT total energy = -4.71 eV per atom
Volume = 38.7 A^3/atom
Fermi-level density of states = 0.00 states/eV/f.u.
E_form (uncorrected) = -114.9 kJ per mole of atoms
Total moment = 0.00 μB per formula unit

---

Compound: Ta2CdGaIr
Source: Alexandria via LeMat-Bulk
Functional: PBE-GGA
Structure: optimized geometry

POSCAR file:
```
Ta2CdGaIr
1.0
4.737 0.000 0.000
0.000 4.737 0.000
0.000 0.000 4.558
Ta Cd Ga Ir
2 1 1 1
direct
0.000 0.500 0.000 Ta
0.500 0.000 0.000 Ta
0.000 0.000 0.500 Cd
0.000 0.000 0.000 Ga
0.500 0.500 0.500 Ir
```

Properties
Space-group type = P4/mmm, No. 123
DFT total energy = -5.97 eV per atom
Volume = 20.5 A^3/atom
DFT formation energy = 1328 meV/atom
Fermi-level density of states = 2.98 states/eV/f.u.
Total moment = 0.00 μB per formula unit

---

Compound: NaW4Se7
Source: Alexandria via LeMat-Bulk
Functional: PBE-GGA
Structure: optimized geometry

POSCAR file:
```
NaW4Se7
1.0
15.321 0.000 0.000
0.000 6.082 0.000
0.000 0.000 5.963
Na W Se
2 8 14
direct
0.000 0.242 0.000 Na
0.500 0.758 0.500 Na
0.142 0.909 0.562 W
0.242 0.553 0.591 W
0.258 0.447 0.091 W
0.358 0.091 0.062 W
0.642 0.091 0.062 W
0.742 0.447 0.091 W
0.758 0.553 0.591 W
0.858 0.909 0.562 W
0.000 0.823 0.395 Se
0.120 0.631 0.870 Se
0.135 0.303 0.360 Se
0.244 0.159 0.784 Se
0.256 0.841 0.284 Se
0.365 0.697 0.860 Se
0.380 0.369 0.370 Se
0.500 0.177 0.895 Se
0.620 0.369 0.370 Se
0.635 0.697 0.860 Se
0.744 0.841 0.284 Se
0.756 0.159 0.784 Se
0.865 0.303 0.360 Se
0.880 0.631 0.870 Se
```

Properties
Space-group type = Pmn2_1, No. 31
DFT total energy = -6.60 eV per atom
Volume = 23.2 A^3/atom
Fermi-level density of states = 7.64 states/eV/f.u.
E_form (uncorrected) = -13.9 kJ per mole of atoms
Total moment = 0.00 μB per formula unit

---

Compound: Be6FeCo
Source: Alexandria via LeMat-Bulk
Functional: PBE-GGA
Structure: optimized geometry

POSCAR file:
```
Be6FeCo
1.0
3.208 -3.215 0.000
3.208 3.215 0.000
0.000 0.000 3.279
Be Fe Co
6 1 1
direct
0.000 0.500 0.500 Be
0.248 0.248 0.000 Be
0.248 0.752 0.000 Be
0.500 0.000 0.500 Be
0.752 0.248 0.000 Be
0.752 0.752 0.000 Be
0.500 0.500 0.500 Fe
0.000 0.000 0.500 Co
```

Properties
Space-group type = Cmmm, No. 65
DFT total energy = -4.95 eV per atom
Volume = 8.5 A^3/atom
Distance to the lowest polymorph of the same formula = 0.000 eV per formula unit
DFT formation energy = -214 meV/atom
Fermi-level density of states = 3.31 states/eV/f.u.
Total moment = 2.15 μB per formula unit

---

Compound: BeBI2Cl
Source: Alexandria via LeMat-Bulk
Functional: PBE-GGA
Structure: optimized geometry

POSCAR file:
```
BeBI2Cl
1.0
5.152 0.000 0.000
0.000 5.152 0.000
0.000 0.000 4.267
Be B I Cl
1 1 2 1
direct
0.000 0.000 0.000 Be
0.500 0.500 0.500 B
0.000 0.500 0.500 I
0.500 0.000 0.500 I
0.500 0.500 0.000 Cl
```

Properties
Space-group type = P4/mmm, No. 123
DFT total energy = -2.19 eV per atom
Volume = 22.7 A^3/atom
Fermi-level density of states = 1.32 states/eV/f.u.
E_form (uncorrected) = 84.5 kJ per mole of atoms
Total moment = 0.00 μB per formula unit

---

Compound: YTl2CoPd
Source: Alexandria via LeMat-Bulk
Functional: PBE-GGA
Structure: optimized geometry

POSCAR file:
```
YTl2CoPd
1.0
5.179 0.000 0.000
0.000 5.179 0.000
0.000 0.000 5.287
Y Tl Co Pd
1 2 1 1
direct
0.000 0.000 0.000 Y
0.000 0.500 0.500 Tl
0.500 0.000 0.500 Tl
0.500 0.500 0.000 Co
0.000 0.000 0.500 Pd
```

Properties
Space-group type = P4/mmm, No. 123
DFT total energy = -4.19 eV per atom
Volume = 28.4 A^3/atom
DFT formation energy = 506 meV/atom
Fermi-level density of states = 6.98 states/eV/f.u.
Total moment = 1.59 μB per formula unit

---

Compound: Li5Cd2Rh
Source: Alexandria via LeMat-Bulk
Functional: PBE-GGA
Structure: optimized geometry

POSCAR file:
```
Li5Cd2Rh
1.0
2.941 -3.958 0.000
2.941 3.958 0.000
-2.816 0.000 5.802
Li Cd Rh
5 2 1
direct
0.000 0.000 0.000 Li
0.153 0.654 0.296 Li
0.273 0.273 0.530 Li
0.533 0.533 0.062 Li
0.654 0.153 0.296 Li
0.388 0.890 0.771 Cd
0.890 0.388 0.771 Cd
0.768 0.768 0.524 Rh
```

Properties
Space-group type = Cm, No. 8
DFT total energy = -2.51 eV per atom
Volume = 16.9 A^3/atom
Distance to the lowest polymorph of the same formula = 0.185 eV per formula unit
DFT formation energy = -170 meV/atom
Fermi-level density of states = 3.08 states/eV/f.u.
Total moment = 0.00 μB per formula unit